{"formula": "U3Tl2VO12", "functional": "GGA+U", "state": "relaxed", "lattice": [[-0.956, -5.958, -4.509], [-1.098, -6.639, 3.386], [-6.961, -2.854, -0.371]], "species": ["U", "U", "U", "Tl", "Tl", "V", "O", "O", "O", "O", "O", "O", "O", "O", "O", "O", "O", "O"], "fractional_positions": [[0.500, 0.000, 0.000], [0.000, 0.500, 0.000], [0.000, 0.000, 0.500], [0.657, 0.657, 0.657], [0.343, 0.343, 0.343], [0.000, 0.000, 0.000], [0.322, 0.322, 0.950], [0.944, 0.944, 0.295], [0.295, 0.944, 0.944], [0.950, 0.322, 0.322], [0.944, 0.295, 0.944], [0.322, 0.950, 0.322], [0.678, 0.678, 0.050], [0.056, 0.056, 0.705], [0.705, 0.056, 0.056], [0.050, 0.678, 0.678], [0.056, 0.705, 0.056], [0.678, 0.050, 0.678]], "vol_a3_per_cell": 326, "e_tot_ev_per_atom": -8.356, "n_ef_per_ev_cell": 5.641}